(1)
First-principles (PBE) data for crystalline Ca2YReO8 at its relaxed geometry, as listed in Alexandria via LeMat-Bulk.

Cell lengths 5.2888, 4.6755, 6.6012 Å; angles 89.84, 90.05, 89.40 degrees
With the nearest neighbours (Å) after each atom.
Positions (direct):
1 Ca 0.4999 0.4992 0.7643  6 O 2.30-2.45
2 Ca 0.5001 0.5008 0.2357  6 O 2.30-2.45
3 Y 0.0000 0.0000 0.5000  6 O 2.27-2.38
4 Re 0.0000 0.0000 0.0000  6 O 1.87-1.93
5 O 0.1312 0.7660 0.2174  1 Re 1.93
6 O 0.7053 0.7811 0.9993  1 Re 1.87
7 O 0.8675 0.2330 0.2161  1 Re 1.93
8 O 0.8688 0.2340 0.7826  1 Re 1.93
9 O 0.2947 0.2189 0.0007  1 Re 1.87
10 O 0.1325 0.7670 0.7839  1 Re 1.93
11 O 0.5686 0.8580 0.5001  1 O 1.51
12 O 0.4314 0.1420 0.4999  1 O 1.51

Properties
N(E_F)	0.000	states/eV per atom
formation energy without anion corrections	-2.231	eV per atom

---

(2)
First-principles (PBE) data for crystalline Ca2YReO6 at its relaxed geometry, as listed in Alexandria via LeMat-Bulk.

Cell lengths 4.9335, 5.5763, 5.5763 Å; angles 90.00, 90.00, 90.00 degrees
With the nearest neighbours (Å) after each atom.
Positions (direct):
1 Ca 0.9895 0.5000 0.0000  4 O 2.36
2 Ca 0.9895 0.0000 0.5000  4 O 2.36
3 Y 0.5922 0.5000 0.5000  5 O 2.13-2.23
4 Re 0.5755 0.0000 0.0000  1 O 1.75
5 O 0.7301 0.2302 0.2302  1 Re 1.97
6 O 0.7301 0.2302 0.7698  1 Re 1.97
7 O 0.1595 0.5000 0.5000  1 Y 2.13
8 O 0.2202 0.0000 0.0000  1 Re 1.75
9 O 0.7301 0.7698 0.7698  1 Re 1.97
10 O 0.7301 0.7698 0.2302  1 Re 1.97

Properties
N(E_F)	0.068	states/eV per atom
formation energy without anion corrections	-2.450	eV per atom

---

no.,total DFT energy (no corrections) (Ry/atom)
1,-0.54725
2,-0.56713